(1)
KZrRe2 (GGA-PBEsol, relaxed); DOS(E_F) = 5.52 states/eV per cell; formation enthalpy at 0 K = 1.607 eV/atom
1.0
4.7167 0.0000 0.0000
2.3584 4.0848 0.0000
2.3584 1.3616 3.8512
Re Zr K
2 1 1
Direct
0.2500 0.2500 0.2500
0.7500 0.7500 0.7500
0.5000 0.5000 0.5000
0.0000 0.0000 0.0000

=====

(2)
KZrRe2 (GGA-PBEsol, relaxed); DOS(E_F) = 3.63 states/eV per cell; formation enthalpy at 0 K = 0.639 eV/atom
1.0
-2.2768 0.2375 1.7666
2.3046 -1.0224 3.1077
3.0281 7.9668 0.3754
Zr K Re
1 1 2
Direct
0.4049 0.0000 0.3968
0.2763 0.5000 0.7894
0.0845 0.0000 0.1026
0.7344 0.5000 0.2111

=====

(3)
KZrRe2 (GGA-PBEsol, relaxed); DOS(E_F) = 3.11 states/eV per cell; formation enthalpy at 0 K = 1.067 eV/atom
1.0
3.1913 0.0000 0.0000
0.0000 5.0333 0.0000
-1.5956 -2.5167 5.0863
K Re Zr
1 2 1
Direct
0.2694 0.7694 0.5387
0.0353 0.0353 0.0705
0.7085 0.2085 0.4170
0.4869 0.4869 0.9737

=====

> Which formula does entry 2 have?

KZrRe2

=====

> DOS(E_F) of number 3 (KZrRe2)?

3.11 states/eV per cell

=====

> Number 1 is which compound?

KZrRe2

=====

> What is the DOS(E_F) in the second record?

3.63 states/eV per cell